# 1
Density functional theory data (GGA-PBE) for SmHoEr2Se4 after structural relaxation.

The value obtained for the density is 8.371 Mg/m³. The final energy is -5.77 eV per atom. The formation energy from raw total energies comes out at -1729 meV per atom.

The space group is P2/m (No. 10) and the conventional cell measures 7.0434, 4.0188 and 7.1466 Å, with angles of 90.00, 108.76 and 90.00 degrees. The asymmetric unit holds Sm at (0.0000, 0.0000, 0.0000), Ho at (0.5000, 0.5000, 0.0000), Er at (0.0000, 0.5000, 0.5000), Er at (0.5000, 0.0000, 0.5000), Se at (0.2528, 0.0000, 0.7443) and Se at (0.2578, 0.5000, 0.2593).



# 2
Density functional theory data (GGA-PBE) for ErZrIrOs after structural relaxation.

The value obtained for the density is 14.310 Mg/m³. The final energy is -8.91 eV per atom.

The space group is F-43m (No. 216) and the conventional cell measures 6.6757, 6.6757 and 6.6757 Å, with angles of 90.00, 90.00 and 90.00 degrees. The asymmetric unit holds Er at (0.0000, 0.0000, 0.0000), Zr at (0.0000, 0.0000, 0.5000), Ir at (0.2500, 0.2500, 0.7500) and Os at (0.2500, 0.2500, 0.2500).



# 3
Density functional theory data (GGA-PBE) for RbZnSb3 after structural relaxation.

The value obtained for the density is 3.722 Mg/m³. The final energy is -1.45 eV per atom. The formation energy from raw total energies comes out at 1468 meV per atom.

The space group is Pm-3m (No. 221) and the conventional cell measures 6.1293, 6.1293 and 6.1293 Å, with angles of 90.00, 90.00 and 90.00 degrees. The asymmetric unit holds Rb at (0.0000, 0.0000, 0.0000), Zn at (0.5000, 0.5000, 0.5000) and Sb at (0.0000, 0.0000, 0.5000).



# 4
Density functional theory data (GGA-PBE) for SmDy2Y5 after structural relaxation.

The value obtained for the density is 5.935 Mg/m³. The final energy is -5.76 eV per atom.

The space group is Pbam (No. 55) and the conventional cell measures 7.1466, 14.2978 and 5.0379 Å, with angles of 90.00, 90.00 and 90.00 degrees. The asymmetric unit holds Sm at (0.0000, 0.0000, 0.0000), Dy at (0.2495, 0.1250, 0.5000), Y at (0.9995, 0.2501, 0.0000), Y at (0.0000, 0.5000, 0.0000) and Y at (0.2499, 0.3747, 0.5000).



# 5
Density functional theory data (GGA-PBE) for AcFeSi2Ru after structural relaxation.

The value obtained for the density is 8.002 Mg/m³. The final energy is -7.20 eV per atom. The formation energy from raw total energies comes out at -662 meV per atom.

The space group is I-4m2 (No. 119) and the conventional cell measures 4.1924, 4.1924 and 10.3914 Å, with angles of 90.00, 90.00 and 90.00 degrees. The asymmetric unit holds Ac at (0.0000, 0.0000, 0.0000), Fe at (0.0000, 0.5000, 0.7500), Si at (0.0000, 0.0000, 0.3522) and Ru at (0.0000, 0.5000, 0.2500).



# 6
Density functional theory data (GGA-PBE) for Sm3Er3Pd2 after structural relaxation.

The value obtained for the density is 8.649 Mg/m³. The final energy is -5.17 eV per atom.

The space group is Cmcm (No. 63) and the conventional cell measures 3.9012, 12.9043 and 17.7819 Å, with angles of 90.00, 90.00 and 90.00 degrees. The asymmetric unit holds Sm at (0.0000, 0.0479, 0.1045), Sm at (0.0000, 0.3519, 0.2500), Er at (0.0000, 0.3449, 0.0414), Er at (0.0000, 0.3804, 0.7500) and Pd at (0.0000, 0.2503, 0.6258).



# 7
Density functional theory data (GGA-PBE) for BeTeRu2 after structural relaxation.

The value obtained for the density is 8.440 Mg/m³. The final energy is -5.94 eV per atom. The formation energy from raw total energies comes out at 410 meV per atom.

The space group is I-42d (No. 122) and the conventional cell measures 4.0635, 4.0635 and 16.1464 Å, with angles of 90.00, 90.00 and 90.00 degrees. The asymmetric unit holds Be at (0.0000, 0.0000, 0.0000), Te at (0.0000, 0.0000, 0.5000) and Ru at (0.1879, 0.2500, 0.1250).



# 8
Density functional theory data (GGA-PBE) for AlInIr2 after structural relaxation.

The value obtained for the density is 13.476 Mg/m³. The final energy is -6.27 eV per atom.

The space group is Pmm2 (No. 25) and the conventional cell measures 2.9061, 3.9517 and 5.6465 Å, with angles of 90.00, 90.00 and 90.00 degrees. The asymmetric unit holds Al at (0.0000, 0.0000, 0.0000), In at (0.5000, 0.5000, 0.3296), Ir at (0.0000, 0.0000, 0.5432) and Ir at (0.5000, 0.5000, 0.8454).



# 9
Density functional theory data (GGA-PBE) for Ho2ZnSi2Pd5 after structural relaxation.

The value obtained for the density is 9.446 Mg/m³. The final energy is -5.44 eV per atom. The formation energy from raw total energies comes out at -719 meV per atom.

The space group is P4/mbm (No. 127) and the conventional cell measures 10.0279, 10.0279 and 3.4387 Å, with angles of 90.00, 90.00 and 90.00 degrees. The asymmetric unit holds Ho at (0.1765, 0.3235, 0.0000), Zn at (0.0000, 0.0000, 0.0000), Si at (0.1247, 0.6247, 0.0000), Pd at (0.0000, 0.5000, 0.5000) and Pd at (0.0553, 0.7932, 0.5000).



# 10
Density functional theory data (GGA-PBE) for Rb2CrIBr6 after structural relaxation.

The value obtained for the density is 3.627 Mg/m³. The final energy is -3.19 eV per atom. The formation energy from raw total energies comes out at -880 meV per atom.

The space group is I4/mmm (No. 139) and the conventional cell measures 7.8633, 7.8633 and 12.2806 Å, with angles of 90.00, 90.00 and 90.00 degrees. The asymmetric unit holds Rb at (0.0000, 0.5000, 0.2500), Cr at (0.0000, 0.0000, 0.0000), I at (0.0000, 0.0000, 0.5000), Br at (0.0000, 0.0000, 0.2032) and Br at (0.2312, 0.2312, 0.0000).



# 11
Density functional theory data (GGA-PBE) for TlCrSn2 after structural relaxation.

The value obtained for the density is 8.146 Mg/m³. The final energy is -4.60 eV per atom.

The space group is Fm-3m (No. 225) and the conventional cell measures 7.3842, 7.3842 and 7.3842 Å, with angles of 90.00, 90.00 and 90.00 degrees. The asymmetric unit holds Tl at (0.0000, 0.0000, 0.0000), Cr at (0.0000, 0.0000, 0.5000) and Sn at (0.2500, 0.2500, 0.2500).



# 12
Density functional theory data (GGA-PBE) for Ce2TeC2 after structural relaxation.

The value obtained for the density is 6.795 Mg/m³. The final energy is -7.43 eV per atom. The formation energy from raw total energies comes out at -742 meV per atom.

The space group is C2/c (No. 15) and the conventional cell measures 14.6609, 4.2622 and 6.8710 Å, with angles of 90.00, 100.52 and 90.00 degrees. The asymmetric unit holds Ce at (0.1525, 0.2027, 0.1504), Te at (0.0000, 0.2915, 0.7500) and C at (0.2258, 0.3727, 0.5287).



# 13
Density functional theory data (GGA-PBE) for NaLa2TlOs after structural relaxation.

The value obtained for the density is 6.414 Mg/m³. The final energy is -3.75 eV per atom.

The space group is P4/mmm (No. 123) and the conventional cell measures 5.9583, 5.9583 and 5.0712 Å, with angles of 90.00, 90.00 and 90.00 degrees. The asymmetric unit holds Na at (0.0000, 0.0000, 0.0000), La at (0.0000, 0.5000, 0.5000), Tl at (0.0000, 0.0000, 0.5000) and Os at (0.5000, 0.5000, 0.0000).



# 14
Density functional theory data (GGA-PBE) for GaCoN2 after structural relaxation.

The value obtained for the density is 5.747 Mg/m³. The final energy is -6.11 eV per atom. The formation energy from raw total energies comes out at 584 meV per atom.

The space group is R-3m (No. 166, hexagonal axes) and the conventional cell measures 3.0231, 3.0231 and 17.1575 Å, with angles of 90.00, 90.00 and 120.00 degrees. The asymmetric unit holds Ga at (0.0000, 0.0000, 0.0000), Co at (0.0000, 0.0000, 0.5000) and N at (0.0000, 0.0000, 0.3982).



# 15
Density functional theory data (GGA-PBE) for Hf8SbAs2 after structural relaxation.

The value obtained for the density is 12.008 Mg/m³. The final energy is -8.82 eV per atom. The formation energy from raw total energies comes out at -363 meV per atom.

The space group is C2/m (No. 12) and the conventional cell measures 7.9852, 11.8597 and 5.1755 Å, with angles of 90.00, 106.45 and 90.00 degrees. The asymmetric unit holds Hf at (0.0000, 0.2485, 0.0000), Hf at (0.1115, 0.5000, 0.8230), Hf at (0.2032, 0.1233, 0.6082), Sb at (0.0000, 0.0000, 0.0000) and As at (0.0000, 0.3134, 0.5000).



# 16
Density functional theory data (GGA-PBE) for PmZn2Cu9 after structural relaxation.

The value obtained for the density is 8.366 Mg/m³. The final energy is -3.64 eV per atom.

The space group is P6/mmm (No. 191) and the conventional cell measures 8.3870, 8.3870 and 2.7623 Å, with angles of 90.00, 90.00 and 120.00 degrees. The asymmetric unit holds Pm at (0.0000, 0.0000, 0.0000), Zn at (0.3333, 0.6667, 0.0000), Cu at (0.0000, 0.5000, 0.0000) and Cu at (0.1852, 0.3704, 0.5000).



# 17
Density functional theory data (GGA-PBE) for Dy4Y5Sc2 after structural relaxation.

The value obtained for the density is 5.717 Mg/m³. The final energy is -5.65 eV per atom.

The space group is C2/m (No. 12) and the conventional cell measures 23.4662, 3.4868 and 8.4438 Å, with angles of 90.00, 95.19 and 90.00 degrees. The asymmetric unit holds Dy at (0.0376, 0.0000, 0.3479), Dy at (0.2238, 0.5000, 0.8269), Y at (0.0000, 0.5000, 0.0000), Y at (0.1296, 0.0000, 0.0409), Y at (0.1820, 0.0000, 0.4753) and Sc at (0.0876, 0.5000, 0.6942).



# 18
Density functional theory data (GGA-PBE) for PaMn2Si3 after structural relaxation.

The value obtained for the density is 8.288 Mg/m³. The final energy is -7.79 eV per atom. The formation energy from raw total energies comes out at -435 meV per atom.

The space group is P6/mmm (No. 191) and the conventional cell measures 4.9869, 4.9869 and 3.9552 Å, with angles of 90.00, 90.00 and 120.00 degrees. The asymmetric unit holds Pa at (0.0000, 0.0000, 0.0000), Mn at (0.3333, 0.6667, 0.0000) and Si at (0.0000, 0.5000, 0.5000).